Record 1
A relaxed structure of MgCrPd, computed with PBE.

## Properties
* space-group type: C2, No. 5

Cell: 5.330 4.445 5.330 Å, 65.18 94.15 65.18°
Each line ends with the local moment (μB).
Sites, in units of the cell vectors:
Cr 0.853 0.499 0.615  -3.06
Cr 0.446 0.904 0.208  3.06
Mg 0.833 0.201 0.229  0.00
Mg 0.295 0.701 0.766  0.00
Pd 0.724 0.957 0.827  -0.02
Pd 0.234 0.446 0.337  0.02



Record 2
A relaxed structure of YZnB, computed with PBE.

## Properties
* space-group type: P1, No. 1
* relative energy among the computed polymorphs: 174 meV per atom

Cell: 5.118 3.788 7.279 Å, 105.03 126.17 68.38°
Sites, in units of the cell vectors:
Y 0.199 0.860 0.331
Y 0.929 0.189 0.723
Zn 0.523 0.137 0.209
Zn 0.579 0.492 0.975
B 0.841 0.588 0.431
B 0.248 0.473 0.608



Record 3
A relaxed structure of LaNiSe2, computed with PBE.

## Properties
* space-group type: F-43m, No. 216
* formation energy from raw total energies: -0.455 eV/atom

Cell: 4.940 4.940 4.940 Å, 60.00 60.00 60.00°
Each line ends with the local moment (μB).
Sites, in units of the cell vectors:
La 0.500 0.500 0.500  0.01
Ni 0.750 0.750 0.750  0.31
Se 0.000 0.000 0.000  0.07
Se 0.250 0.250 0.250  0.09



Total DFT energy (no corrections) (eV per atom)
-5.509 -5.005 -4.874
V (A^3/atom)
16.5 17.6 21.3
M_tot (Bohr magnetons per cell)
0.000 0.000 0.531